Record 1
Density functional theory data (GGA-PBE) for a geometry-optimized PI2F structure.

The space group is I-42d (No. 122) and the conventional cell measures 7.2957, 7.2957 and 8.3335 Å, with angles of 90.00, 90.00 and 90.00 degrees. The distinct sites, in fractional coordinates, are P at (0.0000, 0.0000, 0.0000), I at (0.2346, 0.2500, 0.1250) and F at (0.0000, 0.0000, 0.5000).

The energy above the most stable polymorph in this dataset is 0 meV/atom. As for the total energy: -41.61 eV per cell. The theoretical density is 4.55 g/cm³. Its uncorrected formation energy is -0.01 eV/atom.

---

Record 2
Density functional theory data (GGA-PBE) for a geometry-optimized CrIr structure.

The space group is P4_2/mnm (No. 136) and the conventional cell measures 5.0226, 5.0226 and 4.7284 Å, with angles of 90.00, 90.00 and 90.00 degrees. The distinct sites, in fractional coordinates, are Cr at (0.1691, 0.1691, 0.0000) and Ir at (0.1906, 0.1906, 0.5000).

The formation energy is 0.65 eV per atom. As for the total energy: -68.71 eV per cell. The theoretical density is 13.60 g/cm³.